First-principles (PBE-GGA) data for crystalline ThZr2Sn at its relaxed geometry, as listed in Alexandria via LeMat-Bulk.

abc: 4.8713 4.8713 4.0996
angles: 90.00 90.00 90.00
Last column: nearest neighbours and their distance in Å.
Space group P4/mmm (No. 123)
Asymmetric unit:
Th  0.0000  0.0000  0.0000 x1  8 Zr 3.18, 4 Sn 3.44
Zr  0.0000  0.5000  0.5000 x2  4 Sn 3.18, 4 Th 3.18, 4 Zr 3.44
Sn  0.5000  0.5000  0.0000 x1  8 Zr 3.18, 4 Th 3.44

Output
Uncorrected energy ... -7.4493 eV/atom
DOS(E_F) ... 1.19 states/eV per atom
Magnetic moment ... 0.000 μB/f.u.